Entry 1:
{"formula": "Pm2InSn", "functional": "PBE", "state": "relaxed", "formation_energy_ev_per_atom": -0.643, "space_group": "No. 38", "lattice": [[-1.488, -0.099, -4.424], [3.684, -2.087, -1.192], [-1.859, -5.111, 3.202]], "species": ["Sn", "Pm", "Pm", "In"], "frac_coords": [[0.361, 0.000, 0.723], [0.083, 0.000, 0.166], [0.808, 0.500, 0.617], [0.532, 0.500, 0.063]]}

=====

Entry 2:
{"formula": "SrLa3P2N6", "functional": "PBE", "state": "relaxed", "space_group": "No. 164", "raw_formation_energy_ev_per_fu": -11.408, "lattice": [[5.938, 0.000, 0.000], [-2.969, 5.142, 0.000], [0.000, 0.000, 6.460]], "species": ["N", "La", "N", "N", "N", "N", "P", "La", "Sr", "La", "N", "P"], "frac_coords": [[0.185, 0.815, 0.271], [0.000, 0.000, 0.000], [0.185, 0.369, 0.271], [0.815, 0.185, 0.729], [0.631, 0.815, 0.271], [0.369, 0.185, 0.729], [0.667, 0.333, 0.828], [0.667, 0.333, 0.349], [0.000, 0.000, 0.500], [0.333, 0.667, 0.651], [0.815, 0.631, 0.729], [0.333, 0.667, 0.172]]}

=====

Entry 3:
{"formula": "HgOs2", "functional": "PBE", "state": "relaxed", "polymorph_energy_mev_per_atom": 268, "formation_energy_ev_per_atom": 0.664, "space_group": "No. 63", "lattice": [[-1.774, 7.010, -3.452], [-0.381, -7.804, 1.779], [-2.904, 0.897, 3.313]], "species": ["Hg", "Os", "Os", "Os", "Os", "Hg"], "frac_coords": [[0.942, 0.058, 0.750], [0.632, 0.368, 0.750], [0.731, 0.269, 0.250], [0.269, 0.731, 0.750], [0.368, 0.632, 0.250], [0.058, 0.942, 0.250]]}

=====

Entry 4:
{"formula": "CsLa2Mn", "functional": "PBE", "state": "relaxed", "formation_energy_ev_per_atom": 0.470, "space_group": "No. 227", "lattice": [[8.059, 0.000, 0.000], [0.000, 8.059, 0.000], [4.030, 4.030, 5.705]], "species": ["La", "La", "Cs", "Mn", "Cs", "Mn", "La", "La"], "frac_coords": [[0.375, 0.625, 0.750], [0.375, 0.625, 0.250], [0.000, 0.000, 0.000], [0.250, 0.750, 0.500], [0.750, 0.250, 0.500], [0.500, 0.500, 0.000], [0.875, 0.625, 0.750], [0.375, 0.125, 0.250]]}

=====

- Number 4 is which compound?
  CsLa2Mn

=====

Please write out number 4 again, unchanged.
{"formula": "CsLa2Mn", "functional": "PBE", "state": "relaxed", "formation_energy_ev_per_atom": 0.470, "space_group": "No. 227", "lattice": [[8.059, 0.000, 0.000], [0.000, 8.059, 0.000], [4.030, 4.030, 5.705]], "species": ["La", "La", "Cs", "Mn", "Cs", "Mn", "La", "La"], "frac_coords": [[0.375, 0.625, 0.750], [0.375, 0.625, 0.250], [0.000, 0.000, 0.000], [0.250, 0.750, 0.500], [0.750, 0.250, 0.500], [0.500, 0.500, 0.000], [0.875, 0.625, 0.750], [0.375, 0.125, 0.250]]}